[1]
A plane-wave DFT calculation with PBE-GGA was carried out for a relaxed NaPb2Cl crystal.

```
data_NaPb2Cl
_cell_length_a 7.7039
_cell_length_b 7.7039
_cell_length_c 7.7039
_cell_angle_alpha 90.00
_cell_angle_beta 90.00
_cell_angle_gamma 90.00
_space_group_name_H-M_alt 'F m -3 m'
_space_group_IT_number 225
_space_group_name_Hall '-F 4 2 3'
loop_
_atom_site_label
_atom_site_fract_x
_atom_site_fract_y
_atom_site_fract_z
_atom_site_occupancy
Na1 0.0000 0.0000 0.0000 1
Pb1 0.2500 0.2500 0.2500 1
Cl1 0.0000 0.0000 0.5000 1
```



[2]
A plane-wave DFT calculation with PBE-GGA was carried out for a relaxed GaBiPSe crystal.

```
data_GaBiPSe
_cell_length_a 7.7556
_cell_length_b 3.9888
_cell_length_c 7.4471
_cell_angle_alpha 90.00
_cell_angle_beta 107.76
_cell_angle_gamma 90.00
_space_group_name_H-M_alt 'C 1 m 1'
_space_group_IT_number 8
_space_group_name_Hall 'C -2y'
loop_
_atom_site_label
_atom_site_fract_x
_atom_site_fract_y
_atom_site_fract_z
_atom_site_occupancy
Ga1 0.0000 0.0000 0.0000 1
Bi1 0.1637 0.0000 0.4804 1
P1 0.3941 0.5000 0.6584 1
Se1 0.3550 0.0000 0.1213 1
```



[3]
A plane-wave DFT calculation with PBE-GGA was carried out for a relaxed TmPHRu crystal.

```
data_TmPHRu
_cell_length_a 3.9815
_cell_length_b 3.9815
_cell_length_c 6.9777
_cell_angle_alpha 90.00
_cell_angle_beta 90.00
_cell_angle_gamma 90.00
_space_group_name_H-M_alt 'P 4/n m m'
_space_group_IT_number 129
loop_
_space_group_symop_operation_xyz
'x,y,z'
'-x,-y,-z'
'-y+1/2,x,z'
'y+1/2,-x,-z'
'-x+1/2,-y+1/2,z'
'x+1/2,y+1/2,-z'
'y,-x+1/2,z'
'-y,x+1/2,-z'
'x+1/2,-y,-z'
'-x+1/2,y,z'
'-y,-x,-z'
'y,x,z'
'-x,y+1/2,-z'
'x,-y+1/2,z'
'y+1/2,x+1/2,-z'
'-y+1/2,-x+1/2,z'
loop_
_atom_site_label
_atom_site_fract_x
_atom_site_fract_y
_atom_site_fract_z
_atom_site_occupancy
Tm1 0.2500 0.2500 0.1587 1
P1 0.2500 0.2500 0.6780 1
H1 0.2500 0.7500 0.0000 1
Ru1 0.2500 0.7500 0.5000 1
```



no.,total DFT energy (no corrections) (eV per atom)
1,-2.72
2,-4.07
3,-6.56